! ScHgIr PBE optimized geometry; values from VASP
! calculated volume = 64.7 Å³/f.u.
! energy relative to the elements = -0.031 eV/atom
! total magnetization = 0.0 μB per cell
! symmetry = F-43m (216)
! DOS at the Fermi energy = 0.74 states/eV/f.u.
! energy above the lowest structure with this stoichiometry = 424.7 meV/atom
&SYSTEM
  ibrav = 0, nat = 3, ntyp = 3
/
ATOMIC_SPECIES
Sc 44.96 Sc.upf
Hg 200.59 Hg.upf
Ir 192.22 Ir.upf
CELL_PARAMETERS angstrom
0.000 3.187 3.187
3.187 0.000 3.187
3.187 3.187 0.000
ATOMIC_POSITIONS angstrom
Sc 0.000 0.000 0.000
Hg 4.780 4.780 4.780
Ir 1.593 1.593 1.593